1.
Entry from Alexandria: an optimized crystal structure of Cs3RuF7 (PBE-GGA).

The structure in extended XYZ format:
```
22
Lattice="8.652 0.000 0.000 0.000 8.652 0.000 0.000 0.000 6.394" Properties=species:S:1:pos:R:3 pbc="T T T"
Cs 0.000 0.000 0.000
Cs 1.660 2.666 3.197
Cs 2.666 6.992 3.197
Cs 4.326 4.326 0.000
Cs 5.986 1.660 3.197
Cs 6.992 5.986 3.197
Ru 0.000 4.326 0.000
Ru 4.326 0.000 0.000
F 0.000 0.000 3.197
F 0.960 5.286 1.407
F 0.960 5.286 4.988
F 1.386 2.940 0.000
F 2.940 7.266 0.000
F 3.366 0.960 1.407
F 3.366 0.960 4.988
F 4.326 4.326 3.197
F 5.286 7.692 1.407
F 5.286 7.692 4.988
F 5.712 1.386 0.000
F 7.266 5.712 0.000
F 7.692 3.366 1.407
F 7.692 3.366 4.988
```

Values from the calculation:
- Fermi-level density of states (states/eV per cell) = 16.9
- raw formation energy (eV/atom) = -2.401
- energy (eV per atom) = -4.668
- M_tot (Bohr magnetons per cell) = 4.000

2.
Entry from Alexandria: an optimized crystal structure of PuGeH2 (PBE-GGA).

The structure in extended XYZ format:
```
4
Lattice="1.998 1.154 3.681 -1.998 1.154 3.681 0.000 -2.308 3.681" Properties=species:S:1:pos:R:3 pbc="T T T"
Pu 0.000 0.000 0.000
Ge 0.000 0.000 5.521
H 0.000 0.000 3.565
H 0.000 0.000 7.478
```

Values from the calculation:
- Fermi-level density of states (states/eV per cell) = 10.5
- energy (eV per atom) = -6.566
- M_tot (Bohr magnetons per cell) = 4.759

3.
Entry from Alexandria: an optimized crystal structure of LiU2TaN5 (PBE-GGA).

The structure in extended XYZ format:
```
18
Lattice="1.609 -6.429 0.000 1.609 6.429 0.000 0.000 0.000 10.045" Properties=species:S:1:pos:R:3 pbc="T T T"
Li 1.609 6.175 5.022
Li 1.609 -6.175 0.000
U 1.609 1.753 3.379
U 1.609 1.345 7.113
U 1.609 -1.345 2.091
U 1.609 -1.753 8.402
Ta 1.609 2.512 0.399
Ta 1.609 -2.512 5.421
N 1.609 6.297 8.111
N 1.609 4.618 0.384
N 1.609 3.977 4.023
N 1.609 3.676 6.943
N 1.609 0.616 1.026
N 1.609 -0.616 6.049
N 1.609 -3.676 1.921
N 1.609 -3.977 9.045
N 1.609 -4.618 5.406
N 1.609 -6.297 3.089
```

Values from the calculation:
- Fermi-level density of states (states/eV per cell) = 12.2
- raw formation energy (eV/atom) = -1.091
- energy (eV per atom) = -9.755
- M_tot (Bohr magnetons per cell) = 4.657

4.
Entry from Alexandria: an optimized crystal structure of KCdRe2Tc (PBE-GGA).

The structure in extended XYZ format:
```
5
Lattice="4.777 0.000 0.000 0.000 4.777 0.000 0.000 0.000 5.422" Properties=species:S:1:pos:R:3 pbc="T T T"
K 0.000 0.000 0.000
Cd 2.389 2.389 0.000
Re 0.000 2.389 2.711
Re 2.389 0.000 2.711
Tc 2.389 2.389 2.711
```

Values from the calculation:
- Fermi-level density of states (states/eV per cell) = 4.8
- energy (eV per atom) = -5.951
- M_tot (Bohr magnetons per cell) = 2.920
- energy relative to the elements (eV per atom) = 1.504

5.
Entry from Alexandria: an optimized crystal structure of Sr8Ga2Cu (PBE-GGA).

The structure in extended XYZ format:
```
11
Lattice="10.165 -2.798 0.000 10.165 2.798 0.000 -2.174 0.000 7.444" Properties=species:S:1:pos:R:3 pbc="T T T"
Sr 0.064 0.000 2.211
Sr 2.473 0.000 6.096
Sr 5.634 0.000 3.986
Sr 8.103 0.000 0.452
Sr 10.053 0.000 6.992
Sr 12.522 0.000 3.458
Sr 15.683 0.000 1.348
Sr 18.092 0.000 5.234
Ga 3.307 0.000 1.604
Ga 14.849 0.000 5.840
Cu 9.078 0.000 3.722
```

Values from the calculation:
- relative energy among the computed polymorphs (eV per formula unit) = 0.000
- Fermi-level density of states (states/eV per cell) = 9.4
- energy (eV per atom) = -2.270
- M_tot (Bohr magnetons per cell) = 0.000
- energy relative to the elements (eV per atom) = -0.124

6.
Entry from Alexandria: an optimized crystal structure of K2RuPtO4 (PBE-GGA).

The structure in extended XYZ format:
```
8
Lattice="-3.132 3.132 3.367 3.132 -3.132 3.367 3.132 3.132 -3.367" Properties=species:S:1:pos:R:3 pbc="T T T"
K 0.000 0.000 0.000
K 0.000 3.132 1.684
Ru 0.000 0.000 3.367
Pt 3.132 0.000 1.684
O 1.296 -0.853 2.258
O 2.279 1.836 1.109
O 1.836 3.985 -1.109
O 0.853 1.296 4.476
```

Values from the calculation:
- Fermi-level density of states (states/eV per cell) = 5.1
- raw formation energy (eV/atom) = -0.846
- energy (eV per atom) = -5.514
- M_tot (Bohr magnetons per cell) = 0.234